[1]
This record from Alexandria via LeMat-Bulk describes a relaxed structure of CaGe3Ir. The functional is PBEsol.

Unit cell a=4.8252 b=4.8252 c=4.8252 alpha=90.00 beta=90.00 gamma=90.00
Last column: nearest neighbours and their distance in Å.
Fractional coordinates of all 5 atoms:
1 Ge 0.0000 0.0000 0.5000  2 Ir 2.41
2 Ge 0.0000 0.5000 0.0000  2 Ir 2.41
3 Ge 0.5000 0.0000 0.0000  2 Ir 2.41
4 Ir 0.0000 0.0000 0.0000  6 Ge 2.41
5 Ca 0.5000 0.5000 0.5000  12 Ge 3.41

Summary:
- Fermi-level density of states (states/eV/f.u.) = 4.18
- E_form (kJ/mol of formula units) = 29
- magnetic moment (μB per atom) = 0.00
- energy (eV per atom) = -5.295

---

[2]
This record from Alexandria via LeMat-Bulk describes a relaxed structure of K2CaGeSb. The functional is PBEsol.

Unit cell a=5.5657 b=6.5587 c=6.5587 alpha=90.00 beta=90.00 gamma=90.00
Last column: nearest neighbours and their distance in Å.
Fractional coordinates of all 5 atoms:
1 Ge 0.5000 0.5000 0.5000  8 K 4.30, 4 Sb 4.64
2 K 0.0000 0.0000 0.5000  2 Ca 3.28
3 K 0.0000 0.5000 0.0000  2 Ca 3.28
4 Sb 0.5000 0.0000 0.0000  2 Ca 2.78
5 Ca 0.0000 0.0000 0.0000  2 Sb 2.78

Summary:
- ΔE_f (raw) (eV/atom) = 0.598
- Fermi-level density of states (states/eV/f.u.) = 2.96
- magnetic moment (μB per atom) = 0.24
- energy (eV per atom) = -2.181

---

[3]
This record from Alexandria via LeMat-Bulk describes a relaxed structure of CaLaGe3. The functional is PBEsol.

Unit cell a=5.1204 b=5.1204 c=5.1204 alpha=90.00 beta=90.00 gamma=90.00
Last column: nearest neighbours and their distance in Å.
Fractional coordinates of all 5 atoms:
1 Ge 0.0000 0.5000 0.0000  2 Ca 2.56
2 Ge 0.0000 0.0000 0.5000  2 Ca 2.56
3 Ge 0.5000 0.0000 0.0000  2 Ca 2.56
4 Ca 0.0000 0.0000 0.0000  6 Ge 2.56
5 La 0.5000 0.5000 0.5000  12 Ge 3.62

Summary:
- Fermi-level density of states (states/eV/f.u.) = 4.77
- E_form (kJ/mol of formula units) = 118
- magnetic moment (μB per atom) = 0.00
- energy (eV per atom) = -4.215

---

[4]
This record from Alexandria via LeMat-Bulk describes a relaxed structure of CaLa2Ge2. The functional is PBEsol.

Unit cell a=4.0203 b=8.2378 c=8.2378 alpha=90.00 beta=90.00 gamma=90.00
Last column: nearest neighbours and their distance in Å.
Fractional coordinates of all 10 atoms:
1 La 0.5000 0.6330 0.8670  6 Ge 3.06-3.21, 1 La 3.10
2 La 0.5000 0.3670 0.1330  6 Ge 3.06-3.21, 1 La 3.10
3 La 0.5000 0.1330 0.6330  6 Ge 3.06-3.21, 1 La 3.10
4 La 0.5000 0.8670 0.3670  6 Ge 3.06-3.21, 1 La 3.10
5 Ge 0.0000 0.1687 0.3313  6 La 3.06-3.21, 2 Ca 3.06
6 Ge 0.0000 0.3313 0.8313  6 La 3.06-3.21, 2 Ca 3.06
7 Ge 0.0000 0.8313 0.6687  6 La 3.06-3.21, 2 Ca 3.06
8 Ge 0.0000 0.6687 0.1687  6 La 3.06-3.21, 2 Ca 3.06
9 Ca 0.0000 0.5000 0.5000  4 Ge 3.06
10 Ca 0.0000 0.0000 0.0000  4 Ge 3.06

Summary:
- Fermi-level density of states (states/eV/f.u.) = 1.67
- E_form (kJ/mol of formula units) = -351
- magnetic moment (μB per atom) = 0.00
- energy (eV per atom) = -5.268

---

> Which formula does entry 3 have?

CaLaGe3